(1)
# KVI5

An optimized crystal structure of KVI5 (PBE, Alexandria via LeMat-Bulk).

a b c (Å): 8.539 7.805 7.805
angles (deg): 69.33 56.84 56.84
Fractional positions:
K 0.000 0.664 0.336
V 0.500 0.479 0.521
I 0.783 0.199 0.235
I 0.500 0.771 0.229
I 0.217 0.765 0.801
I 0.760 0.327 0.673
I 0.240 0.327 0.673

## Properties
**Raw formation energy**: -0.607 eV/atom

(2)
# AlIn2Sb

An optimized crystal structure of AlIn2Sb (PBE, Alexandria via LeMat-Bulk).

a b c (Å): 3.706 3.706 7.480
angles (deg): 90.00 90.00 90.00
Fractional positions:
Sb 0.000 0.000 0.545
Al 0.500 0.500 0.726
In 0.000 0.000 0.972
In 0.500 0.500 0.256

## Properties
**Distance to the lowest polymorph of the same formula**: 35.0 meV per atom
**Raw formation energy**: 0.107 eV/atom

(3)
# BPt2C

An optimized crystal structure of BPt2C (PBE, Alexandria via LeMat-Bulk).

a b c (Å): 3.984 3.984 3.984
angles (deg): 60.00 60.00 60.00
Fractional positions:
C 0.500 0.500 0.500
B 0.000 0.000 0.000
Pt 0.250 0.250 0.250
Pt 0.750 0.750 0.750

## Properties
**Distance to the lowest polymorph of the same formula**: 905.9 meV per atom
**Energy relative to the elements**: 1.307 eV per atom